A plane-wave DFT calculation with PBE was carried out for a relaxed Pm6CdRu crystal.

## Properties
Magnetization   0.0 Bohr magnetons per cell
Calculated volume   33.2 Å³ per atom
ΔE_f   0.00 eV/atom
Space group   C2/m, No. 12

Cell: 6.519 8.039 6.619 Å, 52.61 80.72 74.61°
Sites, in units of the cell vectors:
Pm 0.785 0.562 0.627
Pm 0.655 0.779 0.000
Pm 0.785 0.188 0.373
Pm 0.345 0.221 0.000
Pm 0.215 0.438 0.373
Pm 0.215 0.812 0.627
Cd 0.000 0.000 0.000
Ru 0.500 0.500 0.000